Entry 1:
A relaxed MgAuBr2 crystal. Source: Alexandria via LeMat-Bulk, functional GGA-PBE.

Geometry as POSCAR:
```
MgAuBr2
1.0
3.8313 0.0000 0.0000
0.0000 5.4651 0.0007
0.0000 2.8016 4.6923
Mg Br Au
1 2 1
direct
0.0000 0.5127 0.5123 Mg
0.0000 0.9745 0.9742 Br
0.5000 0.2863 0.2865 Br
0.5000 0.7266 0.7269 Au
```

Computed properties:
Uncorrected formation energy = -566 meV per atom
Calculated total energy = -0.19256 Ry per atom
N(E_F) = 1.2 states/eV/cell
Excess energy over the best structure of this formula in the dataset = 0.060 eV/atom
M_tot = 0.00 μB per cell

---

Entry 2:
A relaxed Co4Re2Ge crystal. Source: Alexandria via LeMat-Bulk, functional GGA-PBE.

Geometry as POSCAR:
```
Co4Re2Ge
1.0
-3.7183 -2.1323 0.9124
1.8209 -1.6160 3.6439
-2.8468 2.7117 5.2604
Co Re Ge
4 2 1
direct
0.1959 0.1959 0.6082 Co
0.0000 0.5000 0.0000 Co
0.5000 0.0000 0.0000 Co
0.8041 0.8041 0.3918 Co
0.6052 0.6052 0.7896 Re
0.3948 0.3948 0.2104 Re
0.0000 0.0000 0.0000 Ge
```

Computed properties:
Calculated total energy = -0.51676 Ry per atom
N(E_F) = 13.0 states/eV/cell
M_tot = 2.37 μB per cell

---

Entry 3:
A relaxed Si2PtRh crystal. Source: Alexandria via LeMat-Bulk, functional GGA-PBE.

Geometry as POSCAR:
```
Si2PtRh
1.0
-0.6422 2.0060 -1.8891
0.5041 -1.8215 -2.1055
-7.0543 -2.1208 0.1459
Pt Rh Si
1 1 2
direct
0.0000 0.0000 0.4815 Pt
0.5000 0.5000 0.7788 Rh
0.0000 0.0000 0.9701 Si
0.5000 0.5000 0.2696 Si
```

Computed properties:
Uncorrected formation energy = -226 meV per atom
Calculated total energy = -0.46200 Ry per atom
N(E_F) = 2.6 states/eV/cell
Excess energy over the best structure of this formula in the dataset = 0.460 eV/atom
M_tot = 0.00 μB per cell

---

Entry 4:
A relaxed ScTl2In crystal. Source: Alexandria via LeMat-Bulk, functional GGA-PBE.

Geometry as POSCAR:
```
ScTl2In
1.0
3.3710 0.0000 0.0000
0.0000 3.3710 0.0000
0.0000 0.0000 9.3916
Sc Tl In
1 2 1
direct
0.5000 0.5000 0.7454 Sc
0.0000 0.0000 0.9662 Tl
0.5000 0.5000 0.2538 Tl
0.0000 0.0000 0.5346 In
```

Computed properties:
Calculated total energy = -0.26070 Ry per atom
N(E_F) = 2.8 states/eV/cell
M_tot = 0.26 μB per cell

---

Entry 5:
A relaxed Ba4Nb crystal. Source: Alexandria via LeMat-Bulk, functional GGA-PBE.

Geometry as POSCAR:
```
Ba4Nb
1.0
6.3477 0.0000 0.0000
0.0000 6.3477 0.0000
0.0000 0.0000 6.3477
Nb Ba
1 4
direct
0.5000 0.5000 0.5000 Nb
0.0000 0.0000 0.0000 Ba
0.5000 0.0000 0.5000 Ba
0.0000 0.5000 0.5000 Ba
0.5000 0.5000 0.0000 Ba
```

Computed properties:
Calculated total energy = -0.21365 Ry per atom
N(E_F) = 7.1 states/eV/cell
M_tot = 0.00 μB per cell

---

Entry 6:
A relaxed CaSi2Au4 crystal. Source: Alexandria via LeMat-Bulk, functional GGA-PBE.

Geometry as POSCAR:
```
CaSi2Au4
1.0
4.5705 0.0000 0.0000
0.0000 4.2828 -1.2720
0.0000 -0.2681 6.9435
Si Au Ca
2 4 1
direct
0.5000 0.5907 0.1815 Si
0.5000 0.4093 0.8185 Si
0.0000 0.6683 0.3367 Au
0.0000 0.3317 0.6633 Au
0.5000 0.8257 0.6514 Au
0.5000 0.1743 0.3486 Au
0.0000 0.0000 0.0000 Ca
```

Computed properties:
Uncorrected formation energy = -390 meV per atom
Calculated total energy = -0.30124 Ry per atom
N(E_F) = 2.5 states/eV/cell
M_tot = 0.00 μB per cell

---

Entry 7:
A relaxed Li2PmNd2In2 crystal. Source: Alexandria via LeMat-Bulk, functional GGA-PBE.

Geometry as POSCAR:
```
Li2PmNd2In2
1.0
-0.6508 2.7110 -4.1016
-2.1912 -2.0015 -3.9735
-8.8828 2.9128 0.3362
In Nd Pm Li
2 2 1 2
direct
0.2643 0.2643 0.2071 In
0.7357 0.7357 0.7929 In
0.1275 0.1275 0.6174 Nd
0.8725 0.8725 0.3826 Nd
0.0000 0.0000 0.0000 Pm
0.6067 0.6067 0.1798 Li
0.3933 0.3933 0.8202 Li
```

Computed properties:
Calculated total energy = -0.26622 Ry per atom
N(E_F) = 5.9 states/eV/cell
M_tot = 0.00 μB per cell

---

Entry 8:
A relaxed Tb2NdYTl2 crystal. Source: Alexandria via LeMat-Bulk, functional GGA-PBE.

Geometry as POSCAR:
```
Tb2NdYTl2
1.0
5.1780 0.0000 0.0000
0.0000 6.8363 0.0000
0.0000 0.0000 10.0963
Y Tb Tl Nd
2 4 4 2
direct
0.5000 0.6841 0.3102 Y
0.5000 0.1841 0.6898 Y
0.5000 0.0495 0.0435 Tb
0.0000 0.8321 0.8182 Tb
0.0000 0.3321 0.1818 Tb
0.5000 0.5495 0.9565 Tb
0.0000 0.7970 0.1348 Tl
0.0000 0.2970 0.8652 Tl
0.5000 0.2216 0.3620 Tl
0.5000 0.7216 0.6380 Tl
0.0000 0.9613 0.4586 Nd
0.0000 0.4613 0.5414 Nd
```

Computed properties:
Calculated total energy = -0.32962 Ry per atom
N(E_F) = 12.7 states/eV/cell
M_tot = 0.00 μB per cell